SmY2UP4: relaxed, PBE.

## Properties
The calculation puts the mass density at 6.28 g cm⁻³. The value obtained for the formation energy is -11.554 eV/f.u. The spin magnetization comes out at 2.108 Bohr magnetons per cell.

Unit cell a=6.9412 b=4.0023 c=6.9564 alpha=90.00 beta=109.23 gamma=90.00
Space group P2/m (No. 10)
Unique sites:
Sm 0.0000 0.0000 0.0000
Y 0.5000 0.0000 0.5000
Y 0.5000 0.5000 0.0000
U 0.0000 0.5000 0.5000
P 0.2463 0.0000 0.7424
P 0.2488 0.5000 0.2589



Sr2MgNb: relaxed, PBE.

## Properties
The calculation puts the mass density at 3.55 g cm⁻³. The value obtained for the formation energy is 3.644 eV/f.u. The spin magnetization comes out at 13.767 Bohr magnetons per cell.

Unit cell a=9.0291 b=9.0291 c=6.7081 alpha=90.00 beta=90.00 gamma=90.00
Space group I-42d (No. 122)
Unique sites:
Sr 0.2469 0.2500 0.1250
Mg 0.0000 0.0000 0.5000
Nb 0.0000 0.0000 0.0000



HoMg11Au: relaxed, PBE.

## Properties
The calculation puts the mass density at 3.56 g cm⁻³. The value obtained for the formation energy is -1.610 eV/f.u. The spin magnetization comes out at 0.000 Bohr magnetons per cell.

Unit cell a=5.7234 b=14.3478 c=7.6486 alpha=90.00 beta=110.65 gamma=90.00
Space group C2/m (No. 12)
Unique sites:
Ho 0.0000 0.0000 0.0000
Mg 0.0000 0.0000 0.5000
Mg 0.0984 0.3971 0.2144
Mg 0.1836 0.1711 0.3567
Mg 0.2500 0.2500 0.0000
Au 0.0000 0.5000 0.5000



PmY6Er2Sc3: relaxed, PBE.

## Properties
The calculation puts the mass density at 5.27 g cm⁻³. The value obtained for the formation energy is 0.627 eV/f.u. The spin magnetization comes out at 0.000 Bohr magnetons per cell.

Unit cell a=6.0700 b=10.5081 c=11.5209 alpha=90.00 beta=100.10 gamma=90.00
Space group C2/m (No. 12)
Unique sites:
Pm 0.0000 0.0000 0.0000
Y 0.2474 0.0000 0.7407
Y 0.2467 0.3331 0.7407
Er 0.0000 0.3334 0.0000
Sc 0.0000 0.1669 0.5000
Sc 0.0000 0.5000 0.5000